No. 1
Computed, not measured: an optimized crystal structure of LiYReTc at the PBE level of DFT.

It has space group F-43m (No. 216), with a = 6.4910 Å, b = 6.4910 Å, c = 6.4910 Å, α = 90.00°, β = 90.00° and γ = 90.00°. Symmetry generates all atoms from Li at (0.0000, 0.0000, 0.0000), Y at (0.0000, 0.0000, 0.5000), Re at (0.2500, 0.2500, 0.7500) and Tc at (0.2500, 0.2500, 0.2500).

The value obtained for the raw total energy is -110.87 eV for the cell shown.

***

No. 2
Computed, not measured: an optimized crystal structure of LiYReTc at the PBE level of DFT.

It has space group F-43m (No. 216), with a = 6.4442 Å, b = 6.4442 Å, c = 6.4442 Å, α = 90.00°, β = 90.00° and γ = 90.00°. Symmetry generates all atoms from Li at (0.0000, 0.0000, 0.0000), Y at (0.2500, 0.2500, 0.7500), Re at (0.0000, 0.0000, 0.5000) and Tc at (0.2500, 0.2500, 0.2500).

The value obtained for the raw total energy is -121.06 eV for the cell shown.

***

| no. | M_tot (μB per cell) |
| --- | --- |
| 1 | 8.5 |
| 2 | 0.0 |